(1)
The following is a DFT calculation (GGA-PBE) of a relaxed Pu3Tl2AsO12 crystal.

```
18
Lattice="3.9015 2.2525 5.9401 -3.9015 2.2525 5.9401 0.0000 -4.5050 5.9401" Properties=species:S:1:pos:R:3 pbc="T T T"
Pu -1.9507 -1.1263 5.9401
Pu -1.9507 1.1263 11.8801
Pu 0.0000 2.2525 5.9401
Tl 0.0000 0.0000 2.7123
Tl 0.0000 0.0000 15.1080
As 0.0000 0.0000 8.9101
O 0.0000 -1.6802 5.4010
O -1.4551 0.8401 5.4010
O -1.3452 -0.7766 7.8771
O 0.0000 -1.5533 9.9431
O -1.3452 0.7766 9.9431
O -1.4551 -0.8401 12.4192
O 1.4551 0.8401 5.4010
O 1.3452 -0.7766 7.8771
O 0.0000 1.5533 7.8771
O 1.3452 0.7766 9.9431
O 1.4551 -0.8401 12.4192
O 0.0000 1.6802 12.4192
```

ΔE_f (raw) in eV per atom: -1.990


(2)
The following is a DFT calculation (GGA-PBE) of a relaxed PuTl2As2O6 crystal.

```
11
Lattice="5.1309 -3.0161 0.0000 5.1309 3.0161 0.0000 -1.3045 0.0000 7.2552" Properties=species:S:1:pos:R:3 pbc="T T T"
Pu 0.0000 0.0000 0.0000
Tl 2.1790 0.0000 5.6485
Tl 6.7783 0.0000 1.6067
As 3.3473 0.0000 1.9874
As 5.6100 0.0000 5.2679
O 3.9406 1.3827 0.9812
O 1.5969 0.0000 1.5414
O 5.0167 1.3827 6.2741
O 3.9406 -1.3827 0.9812
O 7.3604 0.0000 5.7139
O 5.0167 -1.3827 6.2741
```

ΔE_f (raw) in eV per atom: -1.572


(3)
The following is a DFT calculation (GGA-PBE) of a relaxed Pu2TlAsO8 crystal.

```
12
Lattice="5.9453 0.0000 0.0000 -2.9726 5.1488 0.0000 0.0000 0.0000 7.3692" Properties=species:S:1:pos:R:3 pbc="T T T"
Pu 0.0000 3.4325 1.8284
Pu 2.9726 1.7163 5.5408
Tl 0.0000 0.0000 0.0000
As 0.0000 0.0000 3.6846
O 0.0000 1.5120 2.6036
O -1.6633 4.3928 2.6036
O 1.3094 0.7560 4.7656
O 0.0000 3.4325 7.3094
O 2.9726 1.7163 0.0598
O 1.6633 4.3928 2.6036
O 4.6359 0.7560 4.7656
O 2.9726 3.6368 4.7656
```

ΔE_f (raw) in eV per atom: -1.698


(4)
The following is a DFT calculation (GGA-PBE) of a relaxed PuTl2AsO6 crystal.

```
20
Lattice="3.0211 1.7442 9.8501 -3.0211 1.7442 9.8501 0.0000 -3.4885 9.8501" Properties=species:S:1:pos:R:3 pbc="T T T"
Pu 0.0000 0.0000 0.0000
Pu 0.0000 0.0000 14.7752
Tl 0.0000 0.0000 3.6982
Tl 0.0000 0.0000 8.2451
Tl 0.0000 0.0000 21.3053
Tl 0.0000 0.0000 25.8522
As 0.0000 0.0000 11.9205
As 0.0000 0.0000 17.6300
O -1.3005 -0.7508 13.3501
O 0.0000 -1.6074 11.1119
O -1.3921 0.8037 11.1119
O -1.3921 -0.8037 18.4385
O 0.0000 -1.5017 16.2003
O -1.3005 0.7508 16.2003
O 1.3005 -0.7508 13.3501
O 0.0000 1.5017 13.3501
O 1.3921 0.8037 11.1120
O 1.3920 -0.8037 18.4385
O 0.0000 1.6074 18.4385
O 1.3005 0.7508 16.2003
```

ΔE_f (raw) in eV per atom: -1.475


(5)
The following is a DFT calculation (GGA-PBE) of a relaxed TmPuAsO2 crystal.

```
10
Lattice="3.7713 0.0000 0.0000 0.0000 3.7713 0.0000 0.0000 0.0000 12.2994" Properties=species:S:1:pos:R:3 pbc="T T T"
Tm 0.0000 0.0000 0.0000
Tm 1.8856 1.8856 6.1497
Pu 0.0000 0.0000 8.5577
Pu 1.8856 1.8856 2.4080
As 0.0000 0.0000 4.2245
As 1.8856 1.8856 10.3741
O 0.0000 1.8856 1.1373
O 0.0000 1.8856 7.2870
O 1.8856 0.0000 1.1373
O 1.8856 0.0000 7.2870
```

ΔE_f (raw) in eV per atom: -2.506


(6)
The following is a DFT calculation (GGA-PBE) of a relaxed YPuAsO2 crystal.

```
10
Lattice="3.8043 0.0000 0.0000 0.0000 3.8043 0.0000 0.0000 0.0000 12.3816" Properties=species:S:1:pos:R:3 pbc="T T T"
Y 0.0000 0.0000 0.0000
Y 1.9021 1.9021 6.1908
Pu 0.0000 0.0000 8.6320
Pu 1.9021 1.9021 2.4412
As 0.0000 0.0000 4.2741
As 1.9021 1.9021 10.4649
O 0.0000 1.9021 1.2084
O 0.0000 1.9021 7.3992
O 1.9021 0.0000 1.2084
O 1.9021 0.0000 7.3992
```

ΔE_f (raw) in eV per atom: -2.472


(7)
The following is a DFT calculation (GGA-PBE) of a relaxed Rb8AsO3 crystal.

```
12
Lattice="7.2892 0.0000 0.0000 0.0000 7.2892 0.0000 0.0000 0.0000 7.2892" Properties=species:S:1:pos:R:3 pbc="T T T"
Rb 1.7197 1.7197 1.7197
Rb 1.7197 1.7197 5.5695
Rb 1.7197 5.5695 1.7197
Rb 1.7197 5.5695 5.5695
Rb 5.5695 1.7197 1.7197
Rb 5.5695 1.7197 5.5695
Rb 5.5695 5.5695 1.7197
Rb 5.5695 5.5695 5.5695
As 3.6446 3.6446 3.6446
O 0.0000 0.0000 3.6446
O 0.0000 3.6446 0.0000
O 3.6446 0.0000 0.0000
```

ΔE_f (raw) in eV per atom: -0.642


(8)
The following is a DFT calculation (GGA-PBE) of a relaxed Rb2AsO crystal.

```
16
Lattice="11.6771 0.0000 0.0000 0.0000 11.6771 0.0000 0.0000 0.0000 4.1723" Properties=species:S:1:pos:R:3 pbc="T T T"
Rb 0.4205 2.9193 0.5215
Rb 2.9193 6.2590 1.5646
Rb 2.9193 11.2566 3.6508
Rb 5.4181 2.9193 2.6077
Rb 6.2590 8.7578 2.6077
Rb 8.7578 0.4205 3.6508
Rb 8.7578 5.4181 1.5646
Rb 11.2566 8.7578 0.5215
As 0.0000 0.0000 2.0862
As 0.0000 5.8385 3.1292
As 5.8385 0.0000 1.0431
As 5.8385 5.8385 0.0000
O 0.0000 0.0000 0.0000
O 0.0000 5.8385 1.0431
O 5.8385 0.0000 3.1292
O 5.8385 5.8385 2.0862
```

ΔE_f (raw) in eV per atom: -0.568
Energy above the most stable polymorph in this dataset in kJ per mole of atoms: 0.0


(9)
The following is a DFT calculation (GGA-PBE) of a relaxed Rb3AsO crystal.

```
5
Lattice="5.5950 0.0000 0.0000 0.0000 5.5950 0.0000 0.0000 0.0000 5.5950" Properties=species:S:1:pos:R:3 pbc="T T T"
Rb 0.0000 0.0000 2.7975
Rb 0.0000 2.7975 0.0000
Rb 2.7975 0.0000 0.0000
As 2.7975 2.7975 2.7975
O 0.0000 0.0000 0.0000
```

ΔE_f (raw) in eV per atom: -0.453
Energy above the most stable polymorph in this dataset in kJ per mole of atoms: 0.0


(10)
The following is a DFT calculation (GGA-PBE) of a relaxed Rb2As2O5 crystal.

```
9
Lattice="5.9572 -2.0887 0.0000 5.9572 2.0887 0.0000 -1.4981 0.0000 6.5769" Properties=species:S:1:pos:R:3 pbc="T T T"
Rb 0.7084 0.0000 2.2940
Rb 9.7078 0.0000 4.2830
As 4.0194 0.0000 0.5839
As 6.3968 0.0000 5.9930
O 0.8131 0.0000 6.3530
O 3.7886 0.0000 2.2774
O 5.9572 0.0000 0.0000
O 6.6276 0.0000 4.2995
O 9.6031 0.0000 0.2240
```

ΔE_f (raw) in eV per atom: -1.315


(11)
The following is a DFT calculation (GGA-PBE) of a relaxed Rb5AsO crystal.

```
14
Lattice="6.2972 -4.0305 0.0000 6.2972 4.0305 0.0000 -4.6738 0.0000 11.0397" Properties=species:S:1:pos:R:3 pbc="T T T"
Rb -0.5239 1.4301 6.8138
Rb 2.7919 3.6932 8.2797
Rb 0.4483 1.6120 10.6816
Rb 1.8130 -1.4301 1.2940
Rb 5.1355 1.6120 5.8779
Rb 2.7852 -1.6120 5.1618
Rb 6.1077 1.4301 9.7457
Rb 7.4724 -1.6120 0.3580
Rb 5.1288 -3.6932 2.7599
Rb 8.4446 -1.4301 4.2258
As 5.1288 -0.0019 2.7599
As 2.7919 0.0019 8.2797
O 0.0000 0.0000 0.0000
O -2.3369 0.0000 5.5198
```

ΔE_f (raw) in eV per atom: -0.506


(12)
The following is a DFT calculation (GGA-PBE) of a relaxed RbAs2O crystal.

```
16
Lattice="5.2966 0.0000 0.0000 0.0000 5.2966 0.0000 0.0000 0.0000 14.5544" Properties=species:S:1:pos:R:3 pbc="T T T"
Rb 0.0000 1.3242 5.4579
Rb 0.0000 3.9725 9.0965
Rb 2.6483 1.3242 1.8193
Rb 2.6483 3.9725 12.7351
As 0.0000 0.0000 0.0000
As 0.0000 2.6483 0.0000
As 1.3242 1.3242 10.9158
As 1.3242 3.9725 3.6386
As 2.6483 0.0000 7.2772
As 2.6483 2.6483 7.2772
As 3.9725 1.3242 10.9158
As 3.9725 3.9725 3.6386
O 0.0000 1.3242 12.7351
O 0.0000 3.9725 1.8193
O 2.6483 1.3242 9.0965
O 2.6483 3.9725 5.4579
```

ΔE_f (raw) in eV per atom: -0.238